This record from Alexandria via LeMat-Bulk describes CaOsN2F at its PBEsol-relaxed geometry. The functional is SCAN.

Cell: 4.289 4.289 3.935 Å, 90.00 90.00 90.00°
Space group P4/mmm (No. 123)
Unique sites:
Ca: 0.000 0.000 0.000 [1 per cell]
Os: 0.500 0.500 0.500 [1 per cell]
N: 0.000 0.500 0.000 [2 per cell]
F: 0.000 0.000 0.500 [1 per cell]

## Properties
- Calculated volume: 14.47 A^3/atom
- Polymorph energy (0 for the lowest one): 2153 meV per atom
- Formation energy without anion corrections: 1.446 eV per atom

=====

This record from Alexandria via LeMat-Bulk describes La4Sb3 at its PBEsol-relaxed geometry. The functional is SCAN.

Cell: 9.562 9.562 9.562 Å, 90.00 90.00 90.00°
Space group I-43d (No. 220)
Unique sites:
La: 0.072 0.428 0.572 [16 per cell]
Sb: 0.000 0.250 0.875 [12 per cell]

## Properties
- Calculated volume: 31.22 A^3/atom
- Formation energy without anion corrections: -1.258 eV per atom

=====

This record from Alexandria via LeMat-Bulk describes Ti3CuW at its PBEsol-relaxed geometry. The functional is SCAN.

Cell: 4.436 4.436 4.436 Å, 90.00 90.00 90.00°
Space group Pm-3m (No. 221)
Unique sites:
Ti: 0.000 0.000 0.500 [3 per cell]
Cu: 0.000 0.000 0.000 [1 per cell]
W: 0.500 0.500 0.500 [1 per cell]

## Properties
- Calculated volume: 17.46 A^3/atom
- E_form: 0.98 eV/atom

=====

This record from Alexandria via LeMat-Bulk describes ZrSbAs at its PBEsol-relaxed geometry. The functional is SCAN.

Cell: 3.5030 3.5030 6.2282 Å, 90.00 90.00 120.00°
Space group P3m1 (No. 156)
Unique sites:
Zr: 0.0000 0.0000 0.0000 [1 per cell]
Sb: 0.6667 0.3333 0.3584 [1 per cell]
As: 0.3333 0.6667 0.7208 [1 per cell]

## Properties
- Calculated volume: 22.06 A^3/atom
- Polymorph energy (0 for the lowest one): 334 meV per atom
- Formation energy without anion corrections: -0.356 eV per atom

=====

This record from Alexandria via LeMat-Bulk describes Mg2AsSe at its PBEsol-relaxed geometry. The functional is SCAN.

Cell: 3.848 3.848 5.517 Å, 90.00 90.00 90.00°
Space group P4/mmm (No. 123)
Unique sites:
Mg: 0.000 0.000 0.000 [1 per cell]
Mg: 0.500 0.500 0.500 [1 per cell]
As: 0.000 0.000 0.500 [1 per cell]
Se: 0.500 0.500 0.000 [1 per cell]

## Properties
- Calculated volume: 20.42 A^3/atom
- Formation energy without anion corrections: -0.821 eV per atom

=====

This record from Alexandria via LeMat-Bulk describes IrPtRh at its PBEsol-relaxed geometry. The functional is SCAN.

Cell: 4.3513 4.3513 2.6486 Å, 90.00 90.00 120.00°
Space group P-6m2 (No. 187)
Unique sites:
Ir: 0.0000 0.0000 0.0000 [1 per cell]
Pt: 0.6667 0.3333 0.5000 [1 per cell]
Rh: 0.3333 0.6667 0.5000 [1 per cell]

## Properties
- Calculated volume: 14.48 A^3/atom
- Polymorph energy (0 for the lowest one): 303 meV per atom
- E_form: 0.31 eV/atom